DFT (PBE) results for Li8SnHg6 after structural relaxation.

The space group is R-3 (No. 148, hexagonal axes) and the conventional cell measures 7.4821, 7.4821 and 18.4265 Å, with angles of 90.00, 90.00 and 120.00 degrees. Symmetry generates all atoms from Li at (0.0000, 0.0000, 0.0974), Li at (0.0458, 0.7781, 0.6214), Sn at (0.0000, 0.0000, 0.5000) and Hg at (0.0215, 0.7662, 0.7697).

DFT (PBE) results for Li5Sn4Hg2 after structural relaxation.

The space group is Pbam (No. 55) and the conventional cell measures 7.908, 17.847 and 3.224 Å, with angles of 90.00, 90.00 and 90.00 degrees. Symmetry generates all atoms from Li at (0.000, 0.000, 0.000), Li at (0.128, 0.432, 0.000), Li at (0.233, 0.209, 0.000), Sn at (0.088, 0.855, 0.500), Sn at (0.211, 0.565, 0.500) and Hg at (0.037, 0.306, 0.500).

DFT (PBE) results for Li7Sn2Hg after structural relaxation.

The space group is P3m1 (No. 156) and the conventional cell measures 4.6849, 4.6849 and 10.0694 Å, with angles of 90.00, 90.00 and 120.00 degrees. Symmetry generates all atoms from Li at (0.0000, 0.0000, 0.0000), Li at (0.0000, 0.0000, 0.2369), Li at (0.0000, 0.0000, 0.7593), Li at (0.3333, 0.6667, 0.3814), Li at (0.3333, 0.6667, 0.6612), Li at (0.6667, 0.3333, 0.1681), Li at (0.6667, 0.3333, 0.5590), Sn at (0.0000, 0.0000, 0.4987), Sn at (0.3333, 0.6667, 0.0710) and Hg at (0.6667, 0.3333, 0.8704).

DFT (PBE) results for Li2SnHg9 after structural relaxation.

The space group is P4/mmm (No. 123) and the conventional cell measures 4.649, 4.649 and 13.091 Å, with angles of 90.00, 90.00 and 90.00 degrees. Symmetry generates all atoms from Li at (0.000, 0.000, 0.160), Sn at (0.000, 0.000, 0.500), Hg at (0.000, 0.500, 0.000), Hg at (0.000, 0.500, 0.319), Hg at (0.500, 0.500, 0.161) and Hg at (0.500, 0.500, 0.500).

DFT (PBE) results for Li3Sn3Hg after structural relaxation.

The space group is Cmmm (No. 65) and the conventional cell measures 9.279, 9.778 and 6.540 Å, with angles of 90.00, 90.00 and 90.00 degrees. Symmetry generates all atoms from Li at (0.000, 0.000, 0.247), Li at (0.250, 0.250, 0.243), Sn at (0.000, 0.247, 0.500), Sn at (0.185, 0.500, 0.000), Sn at (0.197, 0.500, 0.500) and Hg at (0.000, 0.236, 0.000).

DFT (PBE) results for Li6SnHg12 after structural relaxation.

The distance to the lowest polymorph of the same formula comes out at 0.00 eV per formula unit.

The space group is R-3 (No. 148, hexagonal axes) and the conventional cell measures 10.6397, 10.6397 and 12.6946 Å, with angles of 90.00, 90.00 and 120.00 degrees. Symmetry generates all atoms from Li at (0.0191, 0.4294, 0.2038), Sn at (0.0000, 0.0000, 0.5000), Hg at (0.0252, 0.1977, 0.3185) and Hg at (0.0480, 0.8398, 0.9090).

| no. | energy of formation (eV per atom) |
| --- | --- |
| 1 | -0.28 |
| 2 | -0.31 |
| 3 | -0.28 |
| 4 | -0.08 |
| 5 | -0.27 |
| 6 | -0.22 |